Here is crystalline TcMo2F at its relaxed geometry from Alexandria. Energies are from PBE+U.

Cell: 4.359 4.359 4.359 Å, 60.00 60.00 60.00°
Fractional positions:
Tc: 0.500 0.500 0.500
Mo: 0.750 0.750 0.750
Mo: 0.250 0.250 0.250
F: 0.000 0.000 0.000

magnetic moment: 0.00 μB/f.u.
excess energy over the best structure of this formula in the dataset: 293 meV/atom
ρ: 8.8 g cm⁻³
crystal system: cubic
final energy: -22.557 eV per formula unit